# ZnAsP | Alexandria via LeMat-Bulk | PBE-GGA | relaxed
data_ZnAsP
_chemical_formula_sum 'Zn1 As1 P1'
_symmetry_space_group_name_H-M 'P -6 m 2'
_symmetry_Int_Tables_number 187
_symmetry_space_group_name_Hall 'P -6 2'
_cell_length_a 4.7334
_cell_length_b 4.7334
_cell_length_c 2.7045
_cell_angle_alpha 90.00
_cell_angle_beta 90.00
_cell_angle_gamma 120.00
loop_
_atom_site_label
_atom_site_type_symbol
_atom_site_fract_x
_atom_site_fract_y
_atom_site_fract_z
_atom_site_occupancy
Zn1 Zn 0.0000 0.0000 0.0000 1
As1 As 0.6667 0.3333 0.0000 1
P1 P 0.3333 0.6667 0.0000 1
# * energy above the lowest structure with this stoichiometry: 0 meV per atom
# * energy relative to the elements: 1.01 eV/f.u.
# * N(E_F): 1.54 states/eV per cell
# * V: 17.5 Å³/atom